1.
Density functional theory data (PBE-GGA) for a relaxed structure of BTeRhAu.

Cell: 3.019 3.019 15.843 Å, 90.00 90.00 90.00°
Space group I4mm (No. 107)
Symmetry-distinct sites (fractional):
B 0.000 0.000 0.000
Te 0.000 0.000 0.318
Rh 0.000 0.000 0.500
Au 0.000 0.000 0.140

Summary:
Energy above the most stable polymorph in this dataset   11 meV/atom
Total DFT energy (no corrections)   -5.0210 eV per atom

2.
Density functional theory data (PBE-GGA) for a relaxed structure of Li5ZnHg2.

Cell: 4.5982 4.5982 17.7272 Å, 90.00 90.00 120.00°
Space group P6_3/mmc (No. 194)
Symmetry-distinct sites (fractional):
Li 0.0000 0.0000 0.1644
Li 0.3333 0.6667 0.0528
Li 0.3333 0.6667 0.2500
Zn 0.3333 0.6667 0.7500
Hg 0.3333 0.6667 0.6027

Summary:
Energy above the most stable polymorph in this dataset   49 meV/atom
Formation enthalpy at 0 K   -0.1901 eV per atom
Total DFT energy (no corrections)   -1.6209 eV per atom

3.
Density functional theory data (PBE-GGA) for a relaxed structure of Ag5Pb3I12.

Cell: 18.251 18.251 18.251 Å, 90.00 90.00 90.00°
Space group Ia-3d (No. 230)
Symmetry-distinct sites (fractional):
Ag 0.000 0.000 0.000
Ag 0.000 0.250 0.375
Pb 0.000 0.250 0.125
I 0.026 0.063 0.651

Summary:
Total DFT energy (no corrections)   -2.5327 eV per atom

4.
Density functional theory data (PBE-GGA) for a relaxed structure of Hf2MgO.

Cell: 6.559 6.559 6.559 Å, 90.00 90.00 90.00°
Space group Fm-3m (No. 225)
Symmetry-distinct sites (fractional):
Hf 0.250 0.250 0.250
Mg 0.000 0.000 0.000
O 0.000 0.000 0.500

Summary:
Energy above the most stable polymorph in this dataset   1306 meV/atom
Total DFT energy (no corrections)   -6.3879 eV per atom

5.
Density functional theory data (PBE-GGA) for a relaxed structure of CeHoCuIr.

Cell: 6.944 6.944 6.944 Å, 90.00 90.00 90.00°
Space group F-43m (No. 216)
Symmetry-distinct sites (fractional):
Ce 0.000 0.000 0.000
Ho 0.000 0.000 0.500
Cu 0.250 0.250 0.750
Ir 0.250 0.250 0.250

Summary:
Formation enthalpy at 0 K   -0.4972 eV per atom
Total DFT energy (no corrections)   -6.3644 eV per atom

6.
Density functional theory data (PBE-GGA) for a relaxed structure of PrZrPa.

Cell: 3.937 3.937 10.781 Å, 90.00 90.00 90.00°
Space group P4/nmm (No. 129, origin choice 2)
Symmetry-distinct sites (fractional):
Pr 0.250 0.250 0.111
Zr 0.250 0.250 0.711
Pa 0.250 0.250 0.426

Summary:
Energy above the most stable polymorph in this dataset   0 meV/atom
Formation enthalpy at 0 K   0.1073 eV per atom
Total DFT energy (no corrections)   -7.5005 eV per atom